(1)
## MgRe2Bi (PBE-GGA)

Data for MgRe2Bi after structural relaxation.

a = 4.1112 Å, b = 4.1112 Å, c = 19.4820 Å
α = 90.00°, β = 90.00°, γ = 90.00°
With the nearest neighbours (Å) after each atom.
Space group I-42d (No. 122)
Asymmetric unit:
1 Mg 0.0000 0.0000 0.0000 x4  4 Re 2.73, 4 Bi 2.91
2 Re 0.1662 0.2500 0.1250 x8  2 Re 2.47, 2 Mg 2.73
3 Bi 0.0000 0.0000 0.5000 x4  4 Mg 2.91, 4 Re 2.98

Results
energy of formation from the pure elements	0.82	eV/atom

=====

(2)
## Hf3TiBi2 (PBE-GGA)

Data for Hf3TiBi2 after structural relaxation.

a = 5.6648 Å, b = 9.8340 Å, c = 10.1777 Å
α = 90.00°, β = 101.54°, γ = 90.00°
With the nearest neighbours (Å) after each atom.
Space group C2/m (No. 12)
Asymmetric unit:
1 Hf 0.2450 0.1675 0.2427 x8  2 Ti 3.06-3.10, 4 Bi 3.06-3.20, 6 Hf 3.26-3.29
2 Hf 0.2462 0.5000 0.2417 x4  2 Ti 3.04, 4 Bi 3.09-3.21, 6 Hf 3.27-3.28
3 Ti 0.0000 0.3345 0.0000 x4  6 Hf 3.04-3.10, 3 Ti 3.25-3.28, 3 Bi 3.27-3.29
4 Bi 0.0000 0.0000 0.0000 x2  6 Hf 3.06-3.09, 6 Ti 3.27-3.29
5 Bi 0.0000 0.1653 0.5000 x4  6 Hf 3.18-3.20, 6 Bi 3.25-3.29
6 Bi 0.0000 0.5000 0.5000 x2  6 Hf 3.18-3.21, 6 Bi 3.27-3.29

Results
energy of formation from the pure elements	0.13	eV/atom

=====

(3)
## NaSm4Te6 (PBE-GGA)

Data for NaSm4Te6 after structural relaxation.

a = 12.5350 Å, b = 12.5350 Å, c = 14.8930 Å
α = 90.00°, β = 90.00°, γ = 120.00°
With the nearest neighbours (Å) after each atom.
Space group R-3c (No. 167, hexagonal axes)
Asymmetric unit:
1 Na 0.0000 0.0000 0.0000 x6  6 Te 3.00
2 Sm 0.0000 0.0000 0.2500 x6  6 Te 3.14
3 Sm 0.0000 0.3948 0.2500 x18  8 Te 3.23-3.51
4 Te 0.0301 0.2078 0.3825 x36  1 Na 3.00, 4 Sm 3.14-3.32

Results
formation energy from raw total energies	-1.255	eV per atom

=====

(4)
## KCdCu3 (PBE-GGA)

Data for KCdCu3 after structural relaxation.

a = 5.0176 Å, b = 5.0176 Å, c = 5.0176 Å
α = 90.00°, β = 90.00°, γ = 90.00°
With the nearest neighbours (Å) after each atom.
Space group Pm-3m (No. 221)
Asymmetric unit:
1 K 0.0000 0.0000 0.0000 x1  12 Cu 3.55
2 Cd 0.5000 0.5000 0.5000 x1  6 Cu 2.51
3 Cu 0.0000 0.5000 0.5000 x3  2 Cd 2.51

Results
energy of formation from the pure elements	0.55	eV/atom

=====

(5)
## Co2OsPt (PBE-GGA)

Data for Co2OsPt after structural relaxation.

a = 2.6823 Å, b = 2.6823 Å, c = 7.2349 Å
α = 90.00°, β = 90.00°, γ = 90.00°
With the nearest neighbours (Å) after each atom.
Space group P4mm (No. 99)
Asymmetric unit:
1 Co 0.0000 0.0000 0.0000 x1  8 Co 2.48-2.68, 4 Pt 2.67
2 Co 0.5000 0.5000 0.2208 x1  8 Co 2.48-2.68, 4 Os 2.57
3 Os 0.0000 0.0000 0.4596 x1  4 Co 2.57, 4 Os 2.68, 4 Pt 2.78
4 Pt 0.5000 0.5000 0.7396 x1  4 Co 2.67, 4 Pt 2.68, 4 Os 2.78

Results
energy of formation from the pure elements	0.12	eV/atom

=====

(6)
## K2PmSb4Au3 (PBE-GGA)

Data for K2PmSb4Au3 after structural relaxation.

a = 4.8417 Å, b = 4.8417 Å, c = 12.3337 Å
α = 90.00°, β = 90.00°, γ = 90.00°
With the nearest neighbours (Å) after each atom.
Space group P-4m2 (No. 115)
Asymmetric unit:
1 K 0.0000 0.5000 0.2399 x2  8 Sb 3.69-3.82, 6 Au 3.70-4.02, 2 Pm 4.02
2 Pm 0.0000 0.0000 0.5000 x1  4 Sb 3.04
3 Sb 0.0000 0.0000 0.0000 x1  4 Au 2.87
4 Sb 0.0000 0.5000 0.6485 x2  3 Au 2.79-3.04, 2 Pm 3.04
5 Sb 0.5000 0.5000 0.0000 x1  4 Au 2.87
6 Au 0.0000 0.5000 0.8745 x2  5 Sb 2.79-2.87
7 Au 0.5000 0.5000 0.5000 x1  4 Sb 3.04

Results
formation energy from raw total energies	-0.472	eV per atom

=====

What volume values result from the calculations? In sequence: 329.3 555.5 2026.6 126.3 52.1 289.1 Å³/cell.